Density functional theory data (PBE) for a relaxed structure of AcHoTl2O6.

Calculated values
Space group = No. 146
E = -63.502 eV/cell

Cell lengths 5.9851, 5.9851, 6.2331 Å; angles 61.31, 61.31, 60.00 degrees
Atoms (fractional coordinates):
Ac: 0.7989 0.7989 0.6034
Ho: 0.3110 0.3110 0.0670
Tl: 0.5290 0.5290 0.4130
Tl: 0.0232 0.0232 0.9305
O: 0.6148 0.2252 0.2426
O: 0.2252 0.9175 0.2425
O: 0.9175 0.6148 0.2426
O: 0.3793 0.7078 0.7578
O: 0.7079 0.1550 0.7579
O: 0.1550 0.3793 0.7579

Density functional theory data (PBE) for a relaxed structure of Ac2HoTlO6.

Calculated values
Space group = No. 14
E = -144.652 eV/cell
D(E_F) = 0.00 states/eV/cell

Cell lengths 6.0055, 6.2234, 8.6963 Å; angles 90.00, 90.51, 90.00 degrees
Atoms (fractional coordinates):
Ac: 0.0156 0.9469 0.2478
Ac: 0.5156 0.5531 0.7478
Ac: 0.9844 0.0531 0.7522
Ac: 0.4844 0.4469 0.2522
Ho: 0.5000 0.0000 0.0000
Ho: 0.0000 0.5000 0.5000
Tl: 0.5000 0.0000 0.5000
Tl: 0.0000 0.5000 0.0000
O: 0.3039 0.7048 0.0670
O: 0.8039 0.7952 0.5670
O: 0.6961 0.2952 0.9330
O: 0.1961 0.2048 0.4330
O: 0.3004 0.6954 0.4398
O: 0.8004 0.8046 0.9398
O: 0.6996 0.3046 0.5602
O: 0.1996 0.1954 0.0602
O: 0.8807 0.5526 0.2552
O: 0.3807 0.9474 0.7552
O: 0.1193 0.4474 0.7448
O: 0.6193 0.0526 0.2448

Density functional theory data (PBE) for a relaxed structure of Ac2HoUO8.

Calculated values
Space group = No. 47
E = -101.823 eV/cell
D(E_F) = 7.18 states/eV/cell

Cell lengths 3.9998, 5.7205, 7.7671 Å; angles 90.00, 90.00, 90.03 degrees
Atoms (fractional coordinates):
Ac: 0.5000 0.5000 0.7512
Ac: 0.5000 0.5000 0.2488
Ho: 0.0000 0.0000 0.5000
U: 0.0000 0.0000 0.0000
O: 0.0003 0.7771 0.2238
O: 0.5005 0.7858 0.0000
O: 0.9997 0.2229 0.2238
O: 0.9997 0.2229 0.7762
O: 0.4995 0.2142 0.0000
O: 0.0003 0.7771 0.7762
O: 0.5001 0.7732 0.5000
O: 0.4999 0.2268 0.5000